Below is a relaxed HfTlGa2 crystal, with properties calculated at the PBE level.

Calculated values
Calculated total energy: -4.40 eV/atom
E above lowest polymorph: 0.000 eV/f.u.
DOS at the Fermi energy: 2.43 states/eV/f.u.
Formation enthalpy at 0 K: 19.0 kJ/mol of atoms

CIF file:
```
data_HfTlGa2
_cell_length_a 6.1824
_cell_length_b 6.1824
_cell_length_c 6.1824
_cell_angle_alpha 103.39
_cell_angle_beta 103.39
_cell_angle_gamma 122.47
_space_group_name_H-M_alt 'P 1'
_space_group_IT_number 1
loop_
_space_group_symop_operation_xyz
'x,y,z'
loop_
_atom_site_label
_atom_site_fract_x
_atom_site_fract_y
_atom_site_fract_z
Hf1 0.0000 0.0000 0.0000
Hf2 0.7500 0.2500 0.5000
Tl1 0.2500 0.7500 0.5000
Tl2 0.5000 0.5000 0.0000
Ga1 0.1247 0.6250 0.9997
Ga2 0.3750 0.3747 0.4997
Ga3 0.6253 0.1250 0.0003
Ga4 0.8750 0.8753 0.5003
```